[1]
# PBE-GGA La2Bi2Pb, optimized geometry
data_La2Bi2Pb
_symmetry_space_group_name_H-M 'P 4/m b m'
_symmetry_Int_Tables_number 127
_symmetry_space_group_name_Hall '-P 4 2ab'
_cell_length_a 8.7824
_cell_length_b 8.7824
_cell_length_c 4.4298
_cell_angle_alpha 90.00
_cell_angle_beta 90.00
_cell_angle_gamma 90.00
loop_
_atom_site_label
_atom_site_type_symbol
_atom_site_fract_x
_atom_site_fract_y
_atom_site_fract_z
La1 La 0.1541 0.3459 0.0000
Bi1 Bi 0.1498 0.6498 0.5000
Pb1 Pb 0.0000 0.0000 0.5000
# Formation energy = -0.719 eV per atom
# DFT total energy = -4.984 eV per atom

[2]
# PBE-GGA La2BiPb, optimized geometry
data_La2BiPb
_symmetry_space_group_name_H-M 'R -3 m'
_symmetry_Int_Tables_number 166
_symmetry_space_group_name_Hall '-R 3 2"'
_cell_length_a 4.5715
_cell_length_b 4.5715
_cell_length_c 24.2400
_cell_angle_alpha 90.00
_cell_angle_beta 90.00
_cell_angle_gamma 120.00
loop_
_atom_site_label
_atom_site_type_symbol
_atom_site_fract_x
_atom_site_fract_y
_atom_site_fract_z
La1 La 0.0000 0.0000 0.2481
Bi1 Bi 0.0000 0.0000 0.5000
Pb1 Pb 0.0000 0.0000 0.0000
# Formation energy = -0.751 eV per atom
# DFT total energy = -5.112 eV per atom

[3]
# PBE-GGA La6Bi5Pb, optimized geometry
data_La6Bi5Pb
_symmetry_space_group_name_H-M 'C 1 2/m 1'
_symmetry_Int_Tables_number 12
_cell_length_a 8.1485
_cell_length_b 14.1209
_cell_length_c 8.1318
_cell_angle_alpha 90.00
_cell_angle_beta 109.57
_cell_angle_gamma 90.00
loop_
_symmetry_equiv_pos_as_xyz
'x,y,z'
'-x,-y,-z'
'-x,y,-z'
'x,-y,z'
'x+1/2,y+1/2,z'
'-x+1/2,-y+1/2,-z'
'-x+1/2,y+1/2,-z'
'x+1/2,-y+1/2,z'
loop_
_atom_site_label
_atom_site_type_symbol
_atom_site_fract_x
_atom_site_fract_y
_atom_site_fract_z
La1 La 0.2495 0.0000 0.2503
La2 La 0.2500 0.1671 0.7508
Bi1 Bi 0.0000 0.0000 0.5000
Bi2 Bi 0.0000 0.1663 0.0000
Bi3 Bi 0.0000 0.3326 0.5000
Pb1 Pb 0.0000 0.5000 0.0000
# Formation energy = -0.948 eV per atom
# DFT total energy = -5.338 eV per atom

[4]
# PBE-GGA La2Bi5Pb, optimized geometry
data_La2Bi5Pb
_symmetry_space_group_name_H-M 'C m m m'
_symmetry_Int_Tables_number 65
_symmetry_space_group_name_Hall '-C 2 2'
_cell_length_a 9.5115
_cell_length_b 10.3493
_cell_length_c 5.1396
_cell_angle_alpha 90.00
_cell_angle_beta 90.00
_cell_angle_gamma 90.00
loop_
_atom_site_label
_atom_site_type_symbol
_atom_site_fract_x
_atom_site_fract_y
_atom_site_fract_z
La1 La 0.0000 0.2407 0.0000
Bi1 Bi 0.0000 0.0000 0.5000
Bi2 Bi 0.2433 0.5000 0.0000
Bi3 Bi 0.2500 0.2500 0.5000
Pb1 Pb 0.0000 0.5000 0.5000
# Formation energy = -0.548 eV per atom
# DFT total energy = -4.669 eV per atom